Record 1
# Ce2ErSi2

Crystalline Ce2ErSi2 at its relaxed geometry (PBE-GGA, the Alexandria database).

a b c (Å): 7.490 7.490 4.311
angles (deg): 90.00 90.00 90.00
Fractional coordinates of all 10 atoms:
Ce  0.178  0.322  0.000
Ce  0.322  0.822  0.000
Ce  0.678  0.178  0.000
Ce  0.822  0.678  0.000
Er  0.000  0.000  0.500
Er  0.500  0.500  0.500
Si  0.116  0.616  0.500
Si  0.384  0.116  0.500
Si  0.616  0.884  0.500
Si  0.884  0.384  0.500

Properties
total DFT energy (no corrections) = -6.077 eV/atom
crystal system = tetragonal
raw formation energy = -3.11 eV per formula unit

Record 2
# GeHF

Crystalline GeHF at its relaxed geometry (PBE-GGA, the Alexandria database).

a b c (Å): 4.514 4.234 5.385
angles (deg): 90.00 112.84 90.00
Fractional coordinates of all 6 atoms:
Ge  0.100  0.250  0.126
Ge  0.900  0.750  0.874
H  0.129  0.250  0.419
H  0.871  0.750  0.581
F  0.475  0.750  0.814
F  0.525  0.250  0.186

Properties
total DFT energy (no corrections) = -4.202 eV/atom
crystal system = monoclinic

Record 3
# EuPa2Co

Crystalline EuPa2Co at its relaxed geometry (PBE-GGA, the Alexandria database).

a b c (Å): 10.160 10.160 10.160
angles (deg): 19.70 19.70 19.70
Fractional coordinates of all 4 atoms:
Eu  0.000  0.000  0.000
Pa  0.110  0.110  0.110
Pa  0.890  0.890  0.890
Co  0.500  0.500  0.500

Properties
total DFT energy (no corrections) = -8.884 eV/atom
crystal system = trigonal
DFT formation energy = 0.2088 eV/atom